1.
Computed, not measured: a geometry-optimized Tb2PuMgN4 structure at the GGA-PBE level of DFT.

a b c (Å): 3.4761 5.8036 5.8655
angles (deg): 107.95 90.00 90.00
Last column: nearest neighbours and their distance in Å.
Sites, in units of the cell vectors:
Tb1 0.5000 0.0000 0.5000  6 N 2.46-2.48
Tb2 0.0000 0.5000 0.5000  6 N 2.39-2.44
Pu1 0.5000 0.5000 0.0000  6 N 2.24-2.42
Mg1 0.0000 0.0000 0.0000  6 N 2.33-2.45
N1 0.5000 0.2644 0.2383  1 Pu 2.24, 3 Tb 2.44-2.48, 2 Mg 2.45
N2 0.5000 0.7356 0.7617  1 Pu 2.24, 3 Tb 2.44-2.48, 2 Mg 2.45
N3 0.0000 0.2519 0.7573  1 Mg 2.33, 3 Tb 2.39-2.46, 2 Pu 2.42
N4 0.0000 0.7481 0.2427  1 Mg 2.33, 3 Tb 2.39-2.46, 2 Pu 2.42

The total magnetization comes out at 0.497 μB per atom. For the volume, the calculation gives 14.071 A^3/atom. The value obtained for the density of states at the Fermi level is 0.649 states/eV per atom. Its raw formation energy is -1.283 eV per atom.

=====

2.
Computed, not measured: a geometry-optimized Be3Al structure at the GGA-PBE level of DFT.

a b c (Å): 3.4866 3.4866 3.4866
angles (deg): 90.00 90.00 90.00
Last column: nearest neighbours and their distance in Å.
Sites, in units of the cell vectors:
Be1 0.0000 0.5000 0.5000  8 Be 2.47, 4 Al 2.47
Be2 0.5000 0.0000 0.5000  8 Be 2.47, 4 Al 2.47
Be3 0.5000 0.5000 0.0000  8 Be 2.47, 4 Al 2.47
Al1 0.0000 0.0000 0.0000  12 Be 2.47

The total magnetization comes out at 0.000 μB per atom. For the volume, the calculation gives 10.596 A^3/atom. The energy of formation is 0.282 eV/atom. The value obtained for the density of states at the Fermi level is 0.381 states/eV per atom.

=====

3.
Computed, not measured: a geometry-optimized AcIrSe structure at the GGA-PBE level of DFT.

a b c (Å): 4.1265 4.4554 4.4554
angles (deg): 120.00 90.00 90.00
Last column: nearest neighbours and their distance in Å.
Sites, in units of the cell vectors:
Ac1 0.6629 0.6667 0.3333  6 Ir 3.24-3.35, 6 Se 3.27-3.32
Ir1 0.1847 0.3333 0.6667  3 Se 2.58
Se1 0.1524 0.0000 0.0000  3 Ir 2.58

The total magnetization comes out at 0.000 μB per atom. For the volume, the calculation gives 23.646 A^3/atom. The value obtained for the density of states at the Fermi level is 0.286 states/eV per atom. Its raw formation energy is -0.994 eV per atom.

=====

4.
Computed, not measured: a geometry-optimized Er2Hf2O7 structure at the GGA-PBE level of DFT.

a b c (Å): 7.3922 7.3922 7.3922
angles (deg): 60.00 60.00 60.00
Last column: nearest neighbours and their distance in Å.
Sites, in units of the cell vectors:
Er1 0.6250 0.6250 0.1250  8 O 2.26-2.50
Er2 0.6250 0.6250 0.6250  8 O 2.26-2.50
Er3 0.1250 0.6250 0.6250  8 O 2.26-2.50
Er4 0.6250 0.1250 0.6250  8 O 2.26-2.50
Hf1 0.1250 0.1250 0.1250  6 O 2.07
Hf2 0.6250 0.1250 0.1250  6 O 2.07
Hf3 0.1250 0.1250 0.6250  6 O 2.07
Hf4 0.1250 0.6250 0.1250  6 O 2.07
O1 0.0355 0.4645 0.0355  2 Hf 2.07
O2 0.2145 0.7855 0.7855  2 Hf 2.07
O3 0.2145 0.7855 0.2145  2 Hf 2.07
O4 0.0355 0.0355 0.4645  2 Hf 2.07
O5 0.7855 0.7855 0.2145  2 Hf 2.07
O6 0.7855 0.2145 0.2145  2 Hf 2.07
O7 0.4645 0.0355 0.0355  2 Hf 2.07
O8 0.4645 0.0355 0.4645  2 Hf 2.07
O9 0.2145 0.2145 0.7855  2 Hf 2.07
O10 0.7500 0.7500 0.7500  4 Er 2.26
O11 0.0355 0.4645 0.4645  2 Hf 2.07
O12 0.4645 0.4645 0.0355  2 Hf 2.07
O13 0.7855 0.2145 0.7855  2 Hf 2.07
O14 0.5000 0.5000 0.5000  4 Er 2.26

The total magnetization comes out at 0.000 μB per atom. For the volume, the calculation gives 12.983 A^3/atom. The value obtained for the density of states at the Fermi level is 0.000 states/eV per atom. Its raw formation energy is -3.567 eV per atom.

=====

5.
Computed, not measured: a geometry-optimized Y2NiAu structure at the GGA-PBE level of DFT.

a b c (Å): 4.0218 4.0218 5.9292
angles (deg): 90.00 90.00 90.00
Last column: nearest neighbours and their distance in Å.
Sites, in units of the cell vectors:
Au1 0.0000 0.0000 0.4272  6 Y 2.88-3.05
Ni1 0.5000 0.5000 0.8409  6 Y 2.83-3.09
Y1 0.0000 0.0000 0.9129  4 Ni 2.88, 2 Au 2.88-3.05
Y2 0.5000 0.5000 0.3190  2 Ni 2.83-3.09, 4 Au 2.92

The total magnetization comes out at 0.000 μB per atom. For the volume, the calculation gives 23.976 A^3/atom. The energy of formation is -0.445 eV/atom. The value obtained for the density of states at the Fermi level is 0.602 states/eV per atom.

=====

- Look up the volume of the third one.
  23.646 A^3/atom

=====

- Look up the volume of the second one.
  10.596 A^3/atom

=====

- Which value of volume does entry 2 give?
  10.596 A^3/atom

=====

- What is the volume in the fourth record?
  12.983 A^3/atom